Material: Cd2NiHgBi
Method: DFT, PBE-GGA
State: optimized geometry

The value obtained for the formation enthalpy at 0 K is 0.0945 eV/atom. The calculation puts the total energy at -2.264 eV per atom. The density of states at the Fermi level is 1.02 states/eV/cell. As for the calculated volume: 26.1 Å³ per atom.

The structure belongs to space group P4/mmm (No. 123); the cell edges are 5.131, 5.131 and 4.950 Å and the angles 90.00°, 90.00° and 90.00°. The asymmetric unit holds Cd at (0.000, 0.500, 0.000), Ni at (0.000, 0.000, 0.000), Hg at (0.500, 0.500, 0.500) and Bi at (0.000, 0.000, 0.500).

---

Material: NpCdHgBi
Method: DFT, PBE-GGA
State: optimized geometry

The value obtained for the formation enthalpy at 0 K is 0.0098 eV/atom. The calculation puts the total energy at -4.500 eV per atom. The density of states at the Fermi level is 10.03 states/eV/cell. As for the calculated volume: 26.2 Å³ per atom. The value obtained for the energy above the lowest structure with this stoichiometry is 0.00 eV/f.u.

The structure belongs to space group Pmmm (No. 47); the cell edges are 4.389, 4.655 and 5.138 Å and the angles 90.00°, 90.00° and 90.00°. The asymmetric unit holds Np at (0.000, 0.000, 0.000), Cd at (0.000, 0.500, 0.500), Hg at (0.500, 0.000, 0.500) and Bi at (0.500, 0.500, 0.000).

---

Material: NpCd5Hg4Bi
Method: DFT, PBE-GGA
State: optimized geometry

The value obtained for the formation enthalpy at 0 K is 0.1433 eV/atom. The calculation puts the total energy at -1.912 eV per atom. The density of states at the Fermi level is 16.24 states/eV/cell. As for the calculated volume: 27.1 Å³ per atom.

The structure belongs to space group P4/mmm (No. 123); the cell edges are 5.484, 5.484 and 9.915 Å and the angles 90.00°, 90.00° and 90.00°. The asymmetric unit holds Np at (0.000, 0.000, 0.000), Cd at (0.000, 0.500, 0.194), Cd at (0.500, 0.500, 0.500), Hg at (0.000, 0.000, 0.325), Hg at (0.000, 0.500, 0.500) and Bi at (0.500, 0.500, 0.000).

---

Material: NpCdHgBi
Method: DFT, PBE-GGA
State: optimized geometry

The value obtained for the formation enthalpy at 0 K is 0.1408 eV/atom. The calculation puts the total energy at -4.369 eV per atom. The density of states at the Fermi level is 55.97 states/eV/cell. As for the calculated volume: 26.7 Å³ per atom. The value obtained for the energy above the lowest structure with this stoichiometry is 0.52 eV/f.u.

The structure belongs to space group F-43m (No. 216); the cell edges are 7.529, 7.529 and 7.529 Å and the angles 90.00°, 90.00° and 90.00°. The asymmetric unit holds Np at (0.000, 0.000, 0.000), Cd at (0.000, 0.000, 0.500), Hg at (0.250, 0.250, 0.250) and Bi at (0.250, 0.250, 0.750).

---

Material: CdHgBiO4
Method: DFT, PBE-GGA
State: optimized geometry

As for the formation energy without anion corrections: -0.80 eV/atom. The calculation puts the total energy at -4.360 eV per atom. The density of states at the Fermi level is 6.61 states/eV/cell. As for the calculated volume: 16.4 Å³ per atom.

The structure belongs to space group Imma (No. 74); the cell edges are 6.737, 7.013 and 9.744 Å and the angles 90.00°, 90.00° and 90.00°. The asymmetric unit holds Cd at (0.250, 0.250, 0.250), Hg at (0.000, 0.250, 0.646), Bi at (0.000, 0.000, 0.000), O at (0.000, 0.024, 0.228) and O at (0.217, 0.250, 0.001).

---

Material: Cd2HgBiO
Method: DFT, PBE-GGA
State: optimized geometry

As for the formation energy without anion corrections: -0.14 eV/atom. The calculation puts the total energy at -2.332 eV per atom. The density of states at the Fermi level is 2.26 states/eV/cell. As for the calculated volume: 22.7 Å³ per atom.

The structure belongs to space group P4/mmm (No. 123); the cell edges are 4.712, 4.712 and 5.102 Å and the angles 90.00°, 90.00° and 90.00°. The asymmetric unit holds Cd at (0.000, 0.500, 0.000), Hg at (0.000, 0.000, 0.500), Bi at (0.500, 0.500, 0.500) and O at (0.500, 0.500, 0.000).

---

Number 6 is which compound?
Cd2HgBiO

---

What is the calculated volume in the second record?
26.2 Å³ per atom

---

calculated volume of number 6 (Cd2HgBiO)?
22.7 Å³ per atom